VASP calculation (GGA-PBE) on a geometry-optimized SrCeGaPb structure.

Calculated values
Electronic total energy   -3.9310 eV per atom
V   29.889 Å³ per atom
E_form   -0.343 eV per atom

Geometry as POSCAR:
```
SrCeGaPb
1.0
0.000 3.910 3.910
3.910 0.000 3.910
3.910 3.910 0.000
Sr Ce Ga Pb
1 1 1 1
direct
0.000 0.000 0.000 Sr
0.500 0.500 0.500 Ce
0.750 0.750 0.750 Ga
0.250 0.250 0.250 Pb
```

---

VASP calculation (GGA-PBE) on a geometry-optimized Th2Ga5I12 structure.

Calculated values
Electronic total energy   -3.2472 eV per atom
V   45.719 Å³ per atom

Geometry as POSCAR:
```
Th2Ga5I12
1.0
9.129 -4.312 0.000
9.129 4.312 0.000
-3.843 0.000 11.034
Th Ga I
2 5 12
direct
0.231 0.769 0.000 Th
0.769 0.231 0.000 Th
0.000 0.000 0.500 Ga
0.281 0.281 0.619 Ga
0.323 0.323 0.274 Ga
0.677 0.677 0.726 Ga
0.719 0.719 0.381 Ga
0.020 0.020 0.804 I
0.079 0.573 0.882 I
0.111 0.609 0.468 I
0.391 0.889 0.532 I
0.427 0.921 0.118 I
0.491 0.491 0.185 I
0.509 0.509 0.815 I
0.573 0.079 0.882 I
0.609 0.111 0.468 I
0.889 0.391 0.532 I
0.921 0.427 0.118 I
0.980 0.980 0.196 I
```

---

VASP calculation (GGA-PBE) on a geometry-optimized LiGdMnCo structure.

Calculated values
Electronic total energy   -7.9194 eV per atom
V   16.580 Å³ per atom
E_form   0.148 eV per atom

Geometry as POSCAR:
```
LiGdMnCo
1.0
0.000 3.213 3.213
3.213 0.000 3.213
3.213 3.213 0.000
Li Gd Mn Co
1 1 1 1
direct
0.000 0.000 0.000 Li
0.250 0.250 0.250 Gd
0.750 0.750 0.750 Mn
0.500 0.500 0.500 Co
```